Below is a geometry-optimized Li5Ac2Au4 structure, with properties calculated at the PBE level.

Cell: 5.6833 5.6833 8.9991 Å, 99.19 99.19 119.61°
Last column: nearest neighbours and their distance in Å.
Sites, in units of the cell vectors:
Au: 0.7906 0.4701 0.2607  5 Li 2.64-2.79
Au: 0.5299 0.2094 0.7393  5 Li 2.64-2.79
Au: 0.4701 0.7906 0.2607  5 Li 2.64-2.79
Au: 0.2094 0.5299 0.7393  5 Li 2.64-2.79
Li: 0.7500 0.2500 0.5000  4 Au 2.64, 2 Li 2.86
Li: 0.5000 0.5000 0.0000  4 Au 2.73, 4 Li 2.84
Li: 0.5000 0.0000 0.0000  4 Au 2.79, 4 Li 2.84-2.86
Li: 0.2500 0.7500 0.5000  4 Au 2.64, 2 Li 2.86
Li: 0.0000 0.5000 0.0000  4 Au 2.79, 4 Li 2.84-2.86
Ac: 0.1411 0.1411 0.2821  6 Au 3.27-3.34, 4 Li 3.40
Ac: 0.8589 0.8589 0.7179  6 Au 3.27-3.34, 4 Li 3.40

Computed properties:
ΔE_f = -5.88 eV per formula unit
ΔE to the lowest computed polymorph = 0 meV per atom
space-group type = No. 69
density = 8.85 g/cm3
total magnetic moment = 0.0 μB per formula unit
DOS(E_F) = 5.089 states/eV per cell

=====

Below is a geometry-optimized Li3AcAu3 structure, with properties calculated at the PBE level.

Cell: 7.1341 7.1341 7.9598 Å, 63.38 63.38 60.00°
Last column: nearest neighbours and their distance in Å.
Sites, in units of the cell vectors:
Au: 0.1401 0.6769 0.2074  3 Li 2.64-2.76, 2 Au 2.90
Au: 0.0244 0.8599 0.7926  3 Li 2.64-2.76, 2 Au 2.90
Au: 0.8599 0.3231 0.7926  3 Li 2.64-2.76, 2 Au 2.90
Au: 0.3231 0.0244 0.7926  3 Li 2.64-2.76, 2 Au 2.90
Au: 0.6769 0.9756 0.2074  3 Li 2.64-2.76, 2 Au 2.90
Au: 0.9756 0.1401 0.2074  3 Li 2.64-2.76, 2 Au 2.90
Ac: 0.6473 0.6473 0.0581  6 Au 3.18-3.19, 3 Li 3.54
Ac: 0.3527 0.3527 0.9419  6 Au 3.18-3.19, 3 Li 3.54
Li: 0.9333 0.3848 0.4185  3 Au 2.64-2.76, 4 Li 2.78-2.89
Li: 0.2635 0.9333 0.4185  3 Au 2.64-2.76, 4 Li 2.78-2.89
Li: 0.3848 0.2635 0.4185  3 Au 2.64-2.76, 4 Li 2.78-2.89
Li: 0.0667 0.6152 0.5815  3 Au 2.64-2.76, 4 Li 2.78-2.89
Li: 0.7365 0.0667 0.5815  3 Au 2.64-2.76, 4 Li 2.78-2.89
Li: 0.6152 0.7365 0.5815  3 Au 2.64-2.76, 4 Li 2.78-2.89

Computed properties:
ΔE_f = -3.42 eV per formula unit
ΔE to the lowest computed polymorph = 78 meV per atom
space-group type = No. 148
density = 9.28 g/cm3
total magnetic moment = 0.0 μB per formula unit
DOS(E_F) = 8.543 states/eV per cell

=====

> The highest density belongs to which entry?

Li3AcAu3

=====

> Which of these has the highest ΔE to the lowest computed polymorph?

Li3AcAu3